No. 1
## Ca2Zn12Cu3Rh (PBE)

Data for crystalline Ca2Zn12Cu3Rh at its relaxed geometry.

Cell: 10.265 10.265 10.265 Å, 35.64 35.64 35.64°
Fractional coordinates of all 18 atoms:
Zn: 0.081 0.081 0.634
Zn: 0.587 0.185 0.587
Zn: 0.815 0.413 0.413
Zn: 0.919 0.366 0.919
Zn: 0.587 0.587 0.185
Zn: 0.185 0.587 0.587
Zn: 0.413 0.413 0.815
Zn: 0.413 0.815 0.413
Zn: 0.919 0.919 0.366
Zn: 0.634 0.081 0.081
Zn: 0.366 0.919 0.919
Zn: 0.081 0.634 0.081
Cu: 0.500 0.000 0.000
Cu: 0.000 0.500 0.000
Cu: 0.000 0.000 0.500
Rh: 0.000 0.000 0.000
Ca: 0.355 0.355 0.355
Ca: 0.645 0.645 0.645

Values from the calculation:
Energy of formation from the pure elements ... -0.028 eV per atom



No. 2
## La3Ho3Er2 (PBE)

Data for crystalline La3Ho3Er2 at its relaxed geometry.

Cell: 5.869 5.881 8.799 Å, 109.55 109.48 90.00°
Fractional coordinates of all 8 atoms:
La: 0.354 0.854 0.708
La: 0.646 0.146 0.292
La: 0.500 0.500 0.000
Ho: 0.000 0.000 0.000
Ho: 0.874 0.374 0.748
Ho: 0.126 0.626 0.252
Er: 0.753 0.753 0.507
Er: 0.247 0.247 0.493

Values from the calculation:
Energy of formation from the pure elements ... 0.122 eV per atom



No. 3
## YTl2Os (PBE)

Data for crystalline YTl2Os at its relaxed geometry.

Cell: 3.441 3.441 7.446 Å, 90.00 90.00 90.00°
Fractional coordinates of all 4 atoms:
Os: 0.500 0.500 0.750
Tl: 0.000 0.000 0.964
Tl: 0.000 0.000 0.536
Y: 0.500 0.500 0.250

Values from the calculation:
Energy of formation from the pure elements ... 0.401 eV per atom



No. 4
## TaCrCd2 (PBE)

Data for crystalline TaCrCd2 at its relaxed geometry.

Cell: 5.346 5.346 2.789 Å, 91.45 91.45 117.95°
Fractional coordinates of all 4 atoms:
Cd: 0.500 0.500 0.000
Cd: 0.000 0.000 0.000
Cr: 0.500 0.000 0.500
Ta: 0.000 0.500 0.500

Values from the calculation:
Energy of formation from the pure elements ... 0.532 eV per atom



No. 5
## LiAl2Ag2Au5 (PBE)

Data for crystalline LiAl2Ag2Au5 at its relaxed geometry.

Cell: 3.995 9.421 9.421 Å, 90.00 90.00 90.00°
Fractional coordinates of all 20 atoms:
Li: 0.000 0.500 0.500
Li: 0.000 0.000 0.000
Au: 0.500 0.811 0.909
Au: 0.500 0.091 0.811
Au: 0.500 0.500 0.000
Au: 0.500 0.311 0.591
Au: 0.500 0.909 0.189
Au: 0.500 0.189 0.091
Au: 0.500 0.409 0.311
Au: 0.500 0.591 0.689
Au: 0.500 0.000 0.500
Au: 0.500 0.689 0.409
Al: 0.000 0.631 0.869
Al: 0.000 0.869 0.369
Al: 0.000 0.369 0.131
Al: 0.000 0.131 0.631
Ag: 0.000 0.666 0.166
Ag: 0.000 0.166 0.334
Ag: 0.000 0.334 0.834
Ag: 0.000 0.834 0.666

Values from the calculation:
Energy of formation from the pure elements ... -0.230 eV per atom



No. 6
## CdRuN2 (PBE)

Data for crystalline CdRuN2 at its relaxed geometry.

Cell: 6.680 6.680 6.680 Å, 28.04 28.04 28.04°
Fractional coordinates of all 4 atoms:
Ru: 0.000 0.000 0.000
N: 0.906 0.906 0.906
N: 0.094 0.094 0.094
Cd: 0.500 0.500 0.500

Values from the calculation:
ΔE_f (raw) ... 104.0 kJ/mol of atoms



No. 7
## MgTiGa3 (PBE)

Data for crystalline MgTiGa3 at its relaxed geometry.

Cell: 4.953 4.953 4.953 Å, 90.00 90.00 90.00°
Fractional coordinates of all 5 atoms:
Ga: 0.500 0.000 0.000
Ga: 0.000 0.000 0.500
Ga: 0.000 0.500 0.000
Ti: 0.000 0.000 0.000
Mg: 0.500 0.500 0.500

Values from the calculation:
Energy of formation from the pure elements ... 0.365 eV per atom



No. 8
## Ba2Ga4PbAu3 (PBE)

Data for crystalline Ba2Ga4PbAu3 at its relaxed geometry.

Cell: 4.714 4.714 11.167 Å, 90.00 90.00 90.00°
Fractional coordinates of all 10 atoms:
Ga: 0.000 0.000 0.000
Ga: 0.000 0.500 0.353
Ga: 0.500 0.000 0.647
Ga: 0.500 0.500 0.000
Ba: 0.500 0.000 0.242
Ba: 0.000 0.500 0.758
Au: 0.500 0.000 0.883
Au: 0.000 0.500 0.117
Au: 0.000 0.000 0.500
Pb: 0.500 0.500 0.500

Values from the calculation:
Energy of formation from the pure elements ... -0.516 eV per atom



No. 9
## RbFeAs2Se (PBE)

Data for crystalline RbFeAs2Se at its relaxed geometry.

Cell: 4.646 4.646 5.551 Å, 90.00 90.00 90.00°
Fractional coordinates of all 5 atoms:
Se: 0.000 0.000 0.500
Fe: 0.000 0.000 0.000
As: 0.500 0.000 0.000
As: 0.000 0.500 0.000
Rb: 0.500 0.500 0.500

Values from the calculation:
ΔE_f (raw) ... 2.6 kJ/mol of atoms



No. 10
## PmSi2Ni (PBE)

Data for crystalline PmSi2Ni at its relaxed geometry.

Cell: 3.988 6.818 10.190 Å, 90.00 90.00 90.00°
Fractional coordinates of all 16 atoms:
Si: 0.750 0.668 0.328
Si: 0.750 0.662 0.930
Si: 0.750 0.162 0.570
Si: 0.250 0.332 0.672
Si: 0.750 0.168 0.172
Si: 0.250 0.832 0.828
Si: 0.250 0.338 0.070
Si: 0.250 0.838 0.430
Ni: 0.250 0.500 0.866
Ni: 0.750 0.000 0.366
Ni: 0.750 0.500 0.134
Ni: 0.250 0.000 0.634
Pm: 0.750 0.656 0.626
Pm: 0.250 0.844 0.126
Pm: 0.250 0.344 0.374
Pm: 0.750 0.156 0.874

Values from the calculation:
ΔE_f (raw) ... -75.9 kJ/mol of atoms



No. 11
## SrFe2Br (PBE)

Data for crystalline SrFe2Br at its relaxed geometry.

Cell: 4.376 4.319 5.948 Å, 90.00 90.00 90.00°
Fractional coordinates of all 4 atoms:
Fe: 0.000 0.000 0.426
Fe: 0.000 0.000 0.074
Br: 0.500 0.500 0.750
Sr: 0.500 0.500 0.250

Values from the calculation:
ΔE_f (raw) ... 50.3 kJ/mol of atoms



No. 12
## RbGa2TcP (PBE)

Data for crystalline RbGa2TcP at its relaxed geometry.

Cell: 4.975 4.975 4.675 Å, 90.00 90.00 90.00°
Fractional coordinates of all 5 atoms:
Ga: 0.000 0.500 0.000
Ga: 0.500 0.000 0.000
P: 0.000 0.000 0.500
Tc: 0.000 0.000 0.000
Rb: 0.500 0.500 0.500

Values from the calculation:
Energy of formation from the pure elements ... -0.145 eV per atom



no.,magnetic moment (Bohr magnetons per cell),D(E_F) (states/eV/atom)
1,0.0,0.405
2,0.0,1.996
3,0.5,0.499
4,0.2,0.621
5,0.0,0.325
6,0.0,0.748
7,0.0,1.305
8,0.0,0.613
9,1.3,1.043
10,0.0,0.410
11,5.4,0.942
12,0.0,0.301